Entry 1:
First-principles (PBE) data for a relaxed PrY5Tm4 crystal, as listed in the Alexandria database.

energy of formation = 44 meV/atom
DOS(E_F) = 1.77 states/eV/atom
crystal system = triclinic
polymorph energy (0 for the lowest one) = 0 kJ/mol of formula units

The structure in CIF format:
```
data_PrY5Tm4
_chemical_formula_sum 'Pr1 Y5 Tm4'
_cell_length_a 5.430
_cell_length_b 7.039
_cell_length_c 8.764
_cell_angle_alpha 89.94
_cell_angle_beta 72.03
_cell_angle_gamma 89.93
_symmetry_space_group_name_H-M 'P 1'
_symmetry_Int_Tables_number 1
loop_
_symmetry_equiv_pos_as_xyz
'x,y,z'
loop_
_atom_site_label
_atom_site_type_symbol
_atom_site_fract_x
_atom_site_fract_y
_atom_site_fract_z
Pr1 Pr 0.000 0.000 0.000
Y1 Y 0.199 0.495 0.602
Y2 Y 0.388 0.745 0.224
Y3 Y 0.609 0.746 0.781
Y4 Y 0.798 0.998 0.404
Y5 Y 0.998 0.496 0.004
Tm1 Tm 0.199 0.998 0.602
Tm2 Tm 0.388 0.250 0.224
Tm3 Tm 0.610 0.248 0.781
Tm4 Tm 0.799 0.495 0.402
```

Entry 2:
First-principles (PBE) data for a relaxed CaSeS2N crystal, as listed in the Alexandria database.

DOS(E_F) = 1.40 states/eV/atom
crystal system = tetragonal
E_form (uncorrected) = 1164 meV per atom
polymorph energy (0 for the lowest one) = 525 kJ/mol of formula units

The structure in CIF format:
```
data_CaSeS2N
_chemical_formula_sum 'Ca1 Se1 S2 N1'
_cell_length_a 5.277
_cell_length_b 5.277
_cell_length_c 4.171
_cell_angle_alpha 90.00
_cell_angle_beta 90.00
_cell_angle_gamma 90.00
_symmetry_space_group_name_H-M 'P 4/m m m'
_symmetry_Int_Tables_number 123
_symmetry_space_group_name_Hall '-P 4 2'
loop_
_atom_site_label
_atom_site_type_symbol
_atom_site_fract_x
_atom_site_fract_y
_atom_site_fract_z
Ca1 Ca 0.000 0.000 0.000
Se1 Se 0.500 0.500 0.500
S1 S 0.000 0.500 0.000
N1 N 0.000 0.000 0.500
```

Entry 3:
First-principles (PBE) data for a relaxed Sn3BiPb crystal, as listed in the Alexandria database.

energy of formation = 99 meV/atom
DOS(E_F) = 0.63 states/eV/atom
crystal system = orthorhombic
polymorph energy (0 for the lowest one) = 0 kJ/mol of formula units

The structure in CIF format:
```
data_Sn3BiPb
_chemical_formula_sum 'Sn12 Bi4 Pb4'
_cell_length_a 10.170
_cell_length_b 8.916
_cell_length_c 6.864
_cell_angle_alpha 90.00
_cell_angle_beta 90.00
_cell_angle_gamma 90.00
_symmetry_space_group_name_H-M 'P n m a'
_symmetry_Int_Tables_number 62
loop_
_symmetry_equiv_pos_as_xyz
'x,y,z'
'-x,-y,-z'
'-x+1/2,-y,z+1/2'
'x+1/2,y,-z+1/2'
'x+1/2,-y+1/2,-z+1/2'
'-x+1/2,y+1/2,z+1/2'
'-x,y+1/2,-z'
'x,-y+1/2,z'
loop_
_atom_site_label
_atom_site_type_symbol
_atom_site_fract_x
_atom_site_fract_y
_atom_site_fract_z
Sn1 Sn 0.159 0.250 0.236
Sn2 Sn 0.180 0.046 0.612
Bi1 Bi 0.000 0.000 0.000
Pb1 Pb 0.107 0.750 0.352
```

Entry 4:
First-principles (PBE) data for a relaxed Nd6Y2Er3Th crystal, as listed in the Alexandria database.

energy of formation = 34 meV/atom
DOS(E_F) = 1.32 states/eV/atom
crystal system = monoclinic

The structure in CIF format:
```
data_Nd6Y2Er3Th
_chemical_formula_sum 'Nd12 Y4 Er6 Th2'
_cell_length_a 6.267
_cell_length_b 10.851
_cell_length_c 11.922
_cell_angle_alpha 90.00
_cell_angle_beta 100.11
_cell_angle_gamma 90.00
_symmetry_space_group_name_H-M 'C 1 2/m 1'
_symmetry_Int_Tables_number 12
loop_
_symmetry_equiv_pos_as_xyz
'x,y,z'
'-x,-y,-z'
'-x,y,-z'
'x,-y,z'
'x+1/2,y+1/2,z'
'-x+1/2,-y+1/2,-z'
'-x+1/2,y+1/2,-z'
'x+1/2,-y+1/2,z'
loop_
_atom_site_label
_atom_site_type_symbol
_atom_site_fract_x
_atom_site_fract_y
_atom_site_fract_z
Nd1 Nd 0.246 0.000 0.249
Nd2 Nd 0.249 0.165 0.751
Y1 Y 0.000 0.333 0.500
Er1 Er 0.000 0.167 0.000
Er2 Er 0.000 0.500 0.000
Th1 Th 0.000 0.000 0.500
```

Entry 5:
First-principles (PBE) data for a relaxed Nd2DyZr crystal, as listed in the Alexandria database.

energy of formation = 173 meV/atom
DOS(E_F) = 1.47 states/eV/atom
crystal system = tetragonal
polymorph energy (0 for the lowest one) = 18 kJ/mol of formula units

The structure in CIF format:
```
data_Nd2DyZr
_chemical_formula_sum 'Nd2 Dy1 Zr1'
_cell_length_a 4.082
_cell_length_b 4.082
_cell_length_c 7.338
_cell_angle_alpha 90.00
_cell_angle_beta 90.00
_cell_angle_gamma 90.00
_symmetry_space_group_name_H-M 'P 4/m m m'
_symmetry_Int_Tables_number 123
_symmetry_space_group_name_Hall '-P 4 2'
loop_
_atom_site_label
_atom_site_type_symbol
_atom_site_fract_x
_atom_site_fract_y
_atom_site_fract_z
Nd1 Nd 0.000 0.000 0.225
Dy1 Dy 0.500 0.500 0.500
Zr1 Zr 0.500 0.500 0.000
```